DFT (SCAN) results for a crystal of Fe3CuSe relaxed with PBEsol.

Summary:
ΔE_f (raw): 935 meV/atom
Symmetry: Pm-3m (221)
Total energy: -17.00 eV per atom

a b c (Å): 4.3229 4.3229 4.3229
angles (deg): 90.00 90.00 90.00
With the nearest neighbours (Å) after each atom.
Fractional coordinates of all 5 atoms:
Fe: 0.0000 0.0000 0.5000  2 Cu 2.16
Fe: 0.0000 0.5000 0.0000  2 Cu 2.16
Fe: 0.5000 0.0000 0.0000  2 Cu 2.16
Cu: 0.0000 0.0000 0.0000  6 Fe 2.16
Se: 0.5000 0.5000 0.5000  12 Fe 3.06